--- a ---
# SrGeIr3

A relaxed structure of SrGeIr3 (GGA-PBE, Alexandria via LeMat-Bulk).

Cell lengths 4.980, 4.980, 4.980 Å; angles 90.00, 90.00, 90.00 degrees
Positions (direct):
Sr 0.000 0.000 0.000
Ge 0.500 0.500 0.500
Ir 0.000 0.000 0.500
Ir 0.000 0.500 0.000
Ir 0.500 0.000 0.000

Output
Total magnetization = 1.0 μB/cell
Crystal system = cubic


--- b ---
# SrGeIr3

A relaxed structure of SrGeIr3 (GGA-PBE, Alexandria via LeMat-Bulk).

Cell lengths 4.682, 4.682, 4.682 Å; angles 90.00, 90.00, 90.00 degrees
Positions (direct):
Sr 0.000 0.000 0.000
Ge 0.500 0.500 0.500
Ir 0.000 0.500 0.500
Ir 0.500 0.000 0.500
Ir 0.500 0.500 0.000

Output
Total magnetization = 0.0 μB/cell
Crystal system = cubic


In order of decreasing stability: b, a.


--- a ---
# SrGe3Ir3

A relaxed structure of SrGe3Ir3 (GGA-PBE, Alexandria via LeMat-Bulk).

Cell lengths 8.444, 8.444, 8.444 Å; angles 48.03, 48.03, 48.03 degrees
Positions (direct):
Sr 0.172 0.172 0.172
Sr 0.828 0.828 0.828
Ge 0.134 0.710 0.365
Ge 0.290 0.635 0.866
Ge 0.365 0.134 0.710
Ge 0.635 0.866 0.290
Ge 0.710 0.365 0.134
Ge 0.866 0.290 0.635
Ir 0.017 0.581 0.275
Ir 0.275 0.017 0.581
Ir 0.419 0.725 0.983
Ir 0.581 0.275 0.017
Ir 0.725 0.983 0.419
Ir 0.983 0.419 0.725

Output
Total magnetization = 0.0 μB/cell
Crystal system = trigonal


--- b ---
# SrGe3Ir3

A relaxed structure of SrGe3Ir3 (GGA-PBE, Alexandria via LeMat-Bulk).

Cell lengths 6.822, 6.822, 6.822 Å; angles 90.00, 90.00, 90.00 degrees
Positions (direct):
Sr 0.000 0.000 0.000
Sr 0.500 0.500 0.500
Ge 0.000 0.250 0.500
Ge 0.000 0.750 0.500
Ge 0.250 0.500 0.000
Ge 0.500 0.000 0.250
Ge 0.500 0.000 0.750
Ge 0.750 0.500 0.000
Ir 0.000 0.500 0.250
Ir 0.000 0.500 0.750
Ir 0.250 0.000 0.500
Ir 0.500 0.250 0.000
Ir 0.500 0.750 0.000
Ir 0.750 0.000 0.500

Output
Total magnetization = 0.0 μB/cell
Crystal system = cubic


In order of decreasing stability: a, b.


--- a ---
# SrZn2GeIr

A relaxed structure of SrZn2GeIr (GGA-PBE, Alexandria via LeMat-Bulk).

Cell lengths 6.315, 6.315, 6.315 Å; angles 141.81, 140.26, 56.30 degrees
Positions (direct):
Sr 0.000 0.000 0.000
Zn 0.621 0.621 0.000
Zn 0.752 0.252 0.500
Ge 0.379 0.379 0.000
Ir 0.253 0.753 0.500

Output
Total magnetization = 0.0 μB/cell
Crystal system = orthorhombic


--- b ---
# SrZn2GeIr

A relaxed structure of SrZn2GeIr (GGA-PBE, Alexandria via LeMat-Bulk).

Cell lengths 4.896, 4.896, 4.749 Å; angles 90.00, 90.00, 90.00 degrees
Positions (direct):
Sr 0.000 0.000 0.000
Zn 0.000 0.500 0.500
Zn 0.500 0.000 0.500
Ge 0.500 0.500 0.000
Ir 0.500 0.500 0.500

Output
Total magnetization = 0.0 μB/cell
Crystal system = tetragonal


In order of decreasing stability: a, b.


--- a ---
# TaGeIr3

A relaxed structure of TaGeIr3 (GGA-PBE, Alexandria via LeMat-Bulk).

Cell lengths 4.807, 4.807, 4.807 Å; angles 90.00, 90.00, 90.00 degrees
Positions (direct):
Ta 0.000 0.000 0.000
Ge 0.500 0.500 0.500
Ir 0.000 0.000 0.500
Ir 0.000 0.500 0.000
Ir 0.500 0.000 0.000

Output
Total magnetization = 0.0 μB/cell
Crystal system = cubic


--- b ---
# TaGeIr3

A relaxed structure of TaGeIr3 (GGA-PBE, Alexandria via LeMat-Bulk).

Cell lengths 4.506, 4.506, 4.506 Å; angles 90.00, 90.00, 90.00 degrees
Positions (direct):
Ta 0.000 0.000 0.000
Ge 0.500 0.500 0.500
Ir 0.000 0.500 0.500
Ir 0.500 0.000 0.500
Ir 0.500 0.500 0.000

Output
Total magnetization = 0.0 μB/cell
Crystal system = cubic


In order of decreasing stability: b, a.


--- a ---
# TbGe3Ir3

A relaxed structure of TbGe3Ir3 (GGA-PBE, Alexandria via LeMat-Bulk).

Cell lengths 7.958, 7.958, 7.958 Å; angles 51.26, 51.26, 51.26 degrees
Positions (direct):
Tb 0.172 0.172 0.172
Tb 0.828 0.828 0.828
Ge 0.093 0.456 0.640
Ge 0.360 0.907 0.544
Ge 0.456 0.640 0.093
Ge 0.544 0.360 0.907
Ge 0.640 0.093 0.456
Ge 0.907 0.544 0.360
Ir 0.044 0.817 0.308
Ir 0.183 0.692 0.956
Ir 0.308 0.044 0.817
Ir 0.692 0.956 0.183
Ir 0.817 0.308 0.044
Ir 0.956 0.183 0.692

Output
Total magnetization = 0.0 μB/cell
Crystal system = trigonal


--- b ---
# TbGe3Ir3

A relaxed structure of TbGe3Ir3 (GGA-PBE, Alexandria via LeMat-Bulk).

Cell lengths 6.745, 6.745, 6.745 Å; angles 90.00, 90.00, 90.00 degrees
Positions (direct):
Tb 0.000 0.000 0.000
Tb 0.500 0.500 0.500
Ge 0.000 0.250 0.500
Ge 0.000 0.750 0.500
Ge 0.250 0.500 0.000
Ge 0.500 0.000 0.250
Ge 0.500 0.000 0.750
Ge 0.750 0.500 0.000
Ir 0.000 0.500 0.250
Ir 0.000 0.500 0.750
Ir 0.250 0.000 0.500
Ir 0.500 0.250 0.000
Ir 0.500 0.750 0.000
Ir 0.750 0.000 0.500

Output
Total magnetization = 0.0 μB/cell
Crystal system = cubic


In order of decreasing stability: a, b.


--- a ---
# Tb2Ge3Ir

A relaxed structure of Tb2Ge3Ir (GGA-PBE, Alexandria via LeMat-Bulk).

Cell lengths 8.442, 8.358, 5.863 Å; angles 70.35, 68.80, 40.85 degrees
Positions (direct):
Tb 0.244 0.756 0.756
Tb 0.250 0.250 0.250
Tb 0.750 0.750 0.750
Tb 0.756 0.244 0.244
Ge 0.165 0.666 0.334
Ge 0.331 0.331 0.669
Ge 0.334 0.835 0.165
Ge 0.666 0.165 0.835
Ge 0.669 0.669 0.331
Ge 0.835 0.334 0.666
Ir 0.166 0.166 0.834
Ir 0.834 0.834 0.166

Output
Total magnetization = 0.0 μB/cell
Crystal system = orthorhombic


--- b ---
# Tb2Ge3Ir

A relaxed structure of Tb2Ge3Ir (GGA-PBE, Alexandria via LeMat-Bulk).

Cell lengths 5.672, 5.672, 6.959 Å; angles 126.55, 126.55, 45.47 degrees
Positions (direct):
Tb 0.000 0.000 0.000
Tb 0.112 0.112 0.603
Ge 0.382 0.382 0.200
Ge 0.679 0.679 0.947
Ge 0.737 0.737 0.408
Ir 0.379 0.379 0.566

Output
Total magnetization = 0.0 μB/cell
Crystal system = monoclinic


In order of decreasing stability: a, b.


--- a ---
# Tb3Ge4Ir2

A relaxed structure of Tb3Ge4Ir2 (GGA-PBE, Alexandria via LeMat-Bulk).

Cell lengths 5.794, 5.794, 8.309 Å; angles 105.26, 105.26, 44.03 degrees
Positions (direct):
Tb 0.000 0.000 0.000
Tb 0.327 0.327 0.352
Tb 0.673 0.673 0.648
Ge 0.045 0.045 0.376
Ge 0.275 0.275 0.930
Ge 0.725 0.725 0.070
Ge 0.955 0.955 0.624
Ir 0.403 0.403 0.728
Ir 0.597 0.597 0.272

Output
Total magnetization = 0.0 μB/cell
Crystal system = monoclinic


--- b ---
# Tb3Ge4Ir2

A relaxed structure of Tb3Ge4Ir2 (GGA-PBE, Alexandria via LeMat-Bulk).

Cell lengths 5.835, 5.835, 8.228 Å; angles 107.68, 107.68, 43.30 degrees
Positions (direct):
Tb 0.000 0.000 0.000
Tb 0.375 0.375 0.302
Tb 0.625 0.625 0.698
Ge 0.087 0.087 0.397
Ge 0.291 0.291 0.926
Ge 0.709 0.709 0.074
Ge 0.913 0.913 0.603
Ir 0.311 0.311 0.632
Ir 0.689 0.689 0.368

Output
Total magnetization = 0.0 μB/cell
Crystal system = monoclinic


In order of decreasing stability: b, a.


--- a ---
# TbGe2Ir4

A relaxed structure of TbGe2Ir4 (GGA-PBE, Alexandria via LeMat-Bulk).

Cell lengths 7.732, 7.732, 3.941 Å; angles 90.00, 90.00, 90.00 degrees
Positions (direct):
Tb 0.000 0.000 0.000
Tb 0.500 0.500 0.500
Ge 0.226 0.226 0.500
Ge 0.274 0.726 0.000
Ge 0.726 0.274 0.000
Ge 0.774 0.774 0.500
Ir 0.077 0.660 0.500
Ir 0.160 0.423 0.000
Ir 0.340 0.923 0.500
Ir 0.423 0.160 0.000
Ir 0.577 0.840 0.000
Ir 0.660 0.077 0.500
Ir 0.840 0.577 0.000
Ir 0.923 0.340 0.500

Output
Total magnetization = 0.0 μB/cell
Crystal system = tetragonal


--- b ---
# TbGe2Ir4

A relaxed structure of TbGe2Ir4 (GGA-PBE, Alexandria via LeMat-Bulk).

Cell lengths 7.358, 7.358, 4.067 Å; angles 90.00, 90.00, 147.52 degrees
Positions (direct):
Tb 0.000 0.000 0.000
Ge 0.413 0.587 0.500
Ge 0.587 0.413 0.500
Ir 0.180 0.820 0.500
Ir 0.317 0.683 0.000
Ir 0.683 0.317 0.000
Ir 0.820 0.180 0.500

Output
Total magnetization = 0.0 μB/cell
Crystal system = orthorhombic


In order of decreasing stability: a, b.


--- a ---
# GeTeIr3

A relaxed structure of GeTeIr3 (GGA-PBE, Alexandria via LeMat-Bulk).

Cell lengths 4.875, 4.875, 4.875 Å; angles 90.00, 90.00, 90.00 degrees
Positions (direct):
Ge 0.000 0.000 0.000
Te 0.500 0.500 0.500
Ir 0.000 0.500 0.500
Ir 0.500 0.000 0.500
Ir 0.500 0.500 0.000

Output
Total magnetization = 1.2 μB/cell
Crystal system = cubic


--- b ---
# GeTeIr3

A relaxed structure of GeTeIr3 (GGA-PBE, Alexandria via LeMat-Bulk).

Cell lengths 4.624, 4.624, 4.624 Å; angles 90.00, 90.00, 90.00 degrees
Positions (direct):
Ge 0.000 0.000 0.000
Te 0.500 0.500 0.500
Ir 0.000 0.000 0.500
Ir 0.000 0.500 0.000
Ir 0.500 0.000 0.000

Output
Total magnetization = 0.8 μB/cell
Crystal system = cubic


In order of decreasing stability: b, a.


--- a ---
# Ge3Te3Ir2

A relaxed structure of Ge3Te3Ir2 (GGA-PBE, Alexandria via LeMat-Bulk).

Cell lengths 7.876, 7.876, 9.057 Å; angles 124.74, 124.74, 70.12 degrees
Positions (direct):
Ge 0.005 0.290 0.148
Ge 0.290 0.005 0.148
Ge 0.339 0.339 0.015
Ge 0.661 0.661 0.985
Ge 0.710 0.995 0.852
Ge 0.995 0.710 0.852
Te 0.173 0.824 0.338
Te 0.176 0.827 0.662
Te 0.357 0.357 0.712
Te 0.643 0.643 0.288
Te 0.824 0.173 0.338
Te 0.827 0.176 0.662
Ir 0.000 0.500 0.000
Ir 0.000 0.500 0.500
Ir 0.500 0.000 0.000
Ir 0.500 0.000 0.500

Output
Total magnetization = 0.0 μB/cell
Crystal system = monoclinic


--- b ---
# Ge3Te3Ir2

A relaxed structure of Ge3Te3Ir2 (GGA-PBE, Alexandria via LeMat-Bulk).

Cell lengths 9.075, 9.075, 9.075 Å; angles 89.87, 89.87, 89.87 degrees
Positions (direct):
Ge 0.000 0.324 0.840
Ge 0.000 0.676 0.160
Ge 0.160 0.000 0.676
Ge 0.176 0.340 0.503
Ge 0.324 0.840 0.000
Ge 0.340 0.503 0.176
Ge 0.497 0.824 0.660
Ge 0.503 0.176 0.340
Ge 0.660 0.497 0.824
Ge 0.676 0.160 0.000
Ge 0.824 0.660 0.497
Ge 0.840 0.000 0.324
Te 0.003 0.351 0.144
Te 0.144 0.003 0.351
Te 0.149 0.644 0.501
Te 0.351 0.144 0.003
Te 0.356 0.499 0.851
Te 0.499 0.851 0.356
Te 0.501 0.149 0.644
Te 0.644 0.501 0.149
Te 0.649 0.856 0.997
Te 0.851 0.356 0.499
Te 0.856 0.997 0.649
Te 0.997 0.649 0.856
Ir 0.242 0.248 0.747
Ir 0.248 0.747 0.242
Ir 0.253 0.758 0.752
Ir 0.257 0.257 0.257
Ir 0.743 0.743 0.743
Ir 0.747 0.242 0.248
Ir 0.752 0.253 0.758
Ir 0.758 0.752 0.253

Output
Total magnetization = 0.0 μB/cell
Crystal system = trigonal


In order of decreasing stability: b, a.


--- a ---
# Th2Ge3Ir2

A relaxed structure of Th2Ge3Ir2 (GGA-PBE, Alexandria via LeMat-Bulk).

Cell lengths 9.569, 9.569, 7.143 Å; angles 90.00, 90.00, 154.20 degrees
Positions (direct):
Th 0.055 0.945 0.750
Th 0.159 0.841 0.250
Th 0.841 0.159 0.750
Th 0.945 0.055 0.250
Ge 0.220 0.780 0.750
Ge 0.436 0.564 0.562
Ge 0.436 0.564 0.938
Ge 0.564 0.436 0.062
Ge 0.564 0.436 0.438
Ge 0.780 0.220 0.250
Ir 0.306 0.694 0.047
Ir 0.306 0.694 0.453
Ir 0.694 0.306 0.547
Ir 0.694 0.306 0.953

Output
Total magnetization = 0.0 μB/cell
Crystal system = orthorhombic


--- b ---
# Th2Ge3Ir2

A relaxed structure of Th2Ge3Ir2 (GGA-PBE, Alexandria via LeMat-Bulk).

Cell lengths 5.601, 5.601, 6.966 Å; angles 109.94, 109.94, 44.81 degrees
Positions (direct):
Th 0.142 0.142 0.282
Th 0.858 0.858 0.718
Ge 0.379 0.379 0.067
Ge 0.500 0.500 0.500
Ge 0.621 0.621 0.933
Ir 0.155 0.155 0.732
Ir 0.845 0.845 0.268

Output
Total magnetization = 0.0 μB/cell
Crystal system = monoclinic


In order of decreasing stability: a, b.